Model i:
Si2OsAu PBE optimized geometry; volume = 15.83 Å³ per atom
1.0
2.934 -0.012 0.000
-1.522 2.509 0.000
0.000 0.000 8.621
Si Au Os
2 1 1
Direct
0.000 0.000 0.524
0.000 0.000 0.976
0.500 0.500 0.250
0.500 0.500 0.750

***

Model ii:
Si2OsAu PBE optimized geometry; volume = 14.80 Å³ per atom
1.0
2.080 -3.086 2.299
2.489 1.123 3.418
-1.307 -0.953 4.064
Si Au Os
2 1 1
Direct
0.750 0.750 0.750
0.250 0.250 0.250
0.500 0.500 0.500
0.000 0.000 0.000

***

Quick look at relative energies in kJ/mol of atoms: model i 0.0; model ii 5.1.

***

Model i:
Si2OsAu PBE optimized geometry; volume = 15.26 Å³ per atom
1.0
-2.758 -1.592 2.844
-0.090 -0.874 4.178
-1.964 4.377 1.572
Au Si Os
1 2 1
Direct
0.750 0.750 0.750
0.516 0.516 0.453
0.984 0.984 0.047
0.250 0.250 0.250

***

Model ii:
Si2OsAu PBE optimized geometry; volume = 14.94 Å³ per atom
1.0
3.422 0.000 0.000
0.000 3.422 0.000
0.000 0.000 5.103
Si Au Os
2 1 1
Direct
0.000 0.000 0.963
0.500 0.500 0.278
0.000 0.000 0.453
0.500 0.500 0.806

***

Model iii:
Si2OsAu PBE optimized geometry; volume = 15.67 Å³ per atom
1.0
-1.873 2.097 -0.384
-1.300 -0.684 2.614
4.517 4.670 3.467
Os Au Si
1 1 2
Direct
0.500 0.750 0.750
0.500 0.250 0.250
0.000 0.250 0.547
0.000 0.250 0.953

***

Quick look at relative energies in kJ/mol of atoms: model i 12.6; model ii 8.7; model iii 0.0.

***

Model i:
Si2OsAu PBE optimized geometry; volume = 15.20 Å³ per atom
1.0
-7.344 0.841 -3.013
-7.949 -0.586 -0.442
-7.601 2.395 -0.457
Si Au Os
2 1 1
Direct
0.000 0.000 0.000
0.255 0.255 0.255
0.507 0.507 0.507
0.738 0.738 0.738

***

Model ii:
Si2OsAu PBE optimized geometry; volume = 15.55 Å³ per atom
1.0
2.864 -0.021 0.000
-1.357 2.522 0.000
0.000 0.000 8.646
Os Au Si
1 1 2
Direct
0.500 0.500 0.782
0.000 0.000 0.491
0.500 0.500 0.232
0.000 0.000 0.994

***

Model iii:
Si2OsAu PBE optimized geometry; volume = 15.13 Å³ per atom
1.0
-1.168 0.687 7.922
-1.460 -2.262 7.572
1.254 -1.055 7.868
Si Os Au
2 1 1
Direct
0.007 0.007 0.007
0.493 0.493 0.493
0.750 0.750 0.750
0.250 0.250 0.250

***

Quick look at relative energies in kJ/mol of atoms: model i 18.7; model ii 39.5; model iii 0.0.

***

Model i:
Si2OsAu PBE optimized geometry; volume = 16.11 Å³ per atom
1.0
6.638 0.013 0.120
6.023 2.791 0.120
0.939 0.208 3.510
Os Si Au
1 2 1
Direct
0.285 0.285 0.216
0.718 0.718 0.783
0.944 0.944 0.055
0.552 0.552 0.446

***

Model ii:
Si2OsAu PBE optimized geometry; volume = 15.46 Å³ per atom
1.0
-4.157 1.282 0.882
-2.308 -2.010 3.215
-0.903 2.164 3.769
Os Au Si
1 1 2
Direct
0.250 0.250 0.250
0.500 0.500 0.500
0.750 0.750 0.750
0.000 0.000 0.000

***

Quick look at relative energies in kJ/mol of atoms: model i 0.0; model ii 61.4.

***

Model i:
SiOsAu2 PBE optimized geometry; volume = 16.06 Å³ per atom
1.0
5.384 0.007 -0.006
2.610 4.708 0.006
-3.481 -3.232 2.533
Au Os Si
2 1 1
Direct
0.747 0.247 0.500
0.035 0.035 0.000
0.456 0.456 0.000
0.263 0.763 0.500

***

Model ii:
SiOsAu2 PBE optimized geometry; volume = 16.38 Å³ per atom
1.0
4.407 0.001 0.004
-2.203 5.265 -0.009
0.002 0.825 2.823
Au Si Os
2 1 1
Direct
0.500 0.000 0.500
0.000 0.000 0.000
0.500 0.500 0.000
0.000 0.500 0.500

***

Quick look at relative energies in kJ/mol of atoms: model i 0.0; model ii 6.7.

***

Model i:
SiOsAu2 PBE optimized geometry; volume = 15.78 Å³ per atom
1.0
4.207 0.000 0.000
0.000 3.873 0.000
0.000 0.000 3.873
Os Au Si
1 2 1
Direct
0.500 0.500 0.000
0.000 0.500 0.500
0.000 0.000 0.000
0.500 0.000 0.500

***

Model ii:
SiOsAu2 PBE optimized geometry; volume = 16.35 Å³ per atom
1.0
-0.034 1.373 2.513
0.019 -2.862 0.112
8.904 0.063 0.087
Au Si Os
2 1 1
Direct
0.000 0.000 0.975
0.500 0.500 0.257
0.500 0.500 0.732
0.000 0.000 0.535

***

Model iii:
SiOsAu2 PBE optimized geometry; volume = 16.20 Å³ per atom
1.0
-4.294 -0.071 -2.953
0.192 -2.629 -4.496
1.217 -0.877 4.991
Au Os Si
2 1 1
Direct
0.500 0.500 0.000
0.000 0.000 0.000
0.250 0.750 0.500
0.750 0.250 0.500

***

Model iv:
SiOsAu2 PBE optimized geometry; volume = 16.21 Å³ per atom
1.0
-1.909 0.568 1.946
-2.812 -2.373 -2.066
1.618 -4.423 2.879
Au Si Os
2 1 1
Direct
0.000 0.000 0.001
0.000 0.000 0.499
0.500 0.500 0.750
0.500 0.500 0.250

***

Quick look at relative energies in kJ/mol of atoms: model i 13.0; model ii 0.0; model iii 27.9; model iv 29.1.